Entry from Alexandria via LeMat-Bulk: a geometry-optimized KTmTlF6 structure (PBE).

Cell: 6.264 6.264 10.398 Å, 90.00 90.00 120.00°
Sites, in units of the cell vectors:
Tl 0.333 0.667 0.750
Tl 0.667 0.333 0.250
F 0.384 0.351 0.861
F 0.384 0.033 0.639
F 0.033 0.384 0.139
F 0.967 0.351 0.639
F 0.351 0.384 0.361
F 0.649 0.616 0.639
F 0.967 0.616 0.861
F 0.351 0.967 0.139
F 0.616 0.649 0.139
F 0.616 0.967 0.361
F 0.033 0.649 0.361
F 0.649 0.033 0.861
K 0.000 0.000 0.500
K 0.000 0.000 0.000
Tm 0.667 0.333 0.750
Tm 0.333 0.667 0.250

Results
ΔE_f (raw): -2613 kJ/mol of formula units
crystal system: trigonal

***

Entry from Alexandria via LeMat-Bulk: a geometry-optimized Sr2MgAlH structure (PBE).

Cell: 5.328 5.328 4.431 Å, 90.00 90.00 90.00°
Sites, in units of the cell vectors:
Mg 0.000 0.000 0.500
Al 0.500 0.500 0.500
H 0.000 0.000 0.000
Sr 0.000 0.500 0.000
Sr 0.500 0.000 0.000

Results
E: -12.85 eV for the cell shown
crystal system: tetragonal

***

Entry from Alexandria via LeMat-Bulk: a geometry-optimized PuScIr2 structure (PBE).

Cell: 3.177 3.177 7.269 Å, 90.00 90.00 90.00°
Sites, in units of the cell vectors:
Ir 0.000 0.000 0.774
Ir 0.000 0.000 0.226
Pu 0.500 0.500 0.500
Sc 0.500 0.500 0.000

Results
energy relative to the elements: -0.672 eV per atom
crystal system: tetragonal

***

Entry from Alexandria via LeMat-Bulk: a geometry-optimized Cs2KNa structure (PBE).

Cell: 10.539 9.482 9.485 Å, 64.87 56.25 56.24°
Sites, in units of the cell vectors:
Cs 0.781 0.719 0.718
Cs 0.218 0.781 0.782
Cs 0.219 0.281 0.282
Cs 0.782 0.219 0.218
K 0.306 0.750 0.250
K 0.694 0.250 0.750
Na 0.714 0.750 0.250
Na 0.286 0.250 0.750

Results
energy relative to the elements: 0.023 eV per atom
crystal system: monoclinic

***

Entry from Alexandria via LeMat-Bulk: a geometry-optimized Tm2Cu3Pd2 structure (PBE).

Cell: 4.316 5.215 6.351 Å, 108.32 90.00 114.45°
Sites, in units of the cell vectors:
Cu 0.500 0.000 0.000
Cu 0.393 0.787 0.572
Cu 0.607 0.213 0.428
Pd 0.857 0.713 0.792
Pd 0.143 0.287 0.208
Tm 0.854 0.708 0.244
Tm 0.146 0.292 0.756

Results
energy relative to the elements: -0.535 eV per atom
crystal system: monoclinic

***

Entry from Alexandria via LeMat-Bulk: a geometry-optimized YTe3Pb structure (PBE).

Cell: 5.830 5.830 5.830 Å, 90.00 90.00 90.00°
Sites, in units of the cell vectors:
Te 0.000 0.500 0.000
Te 0.000 0.000 0.500
Te 0.500 0.000 0.000
Y 0.000 0.000 0.000
Pb 0.500 0.500 0.500

Results
ΔE_f (raw): -170 kJ/mol of formula units
crystal system: cubic

***

Entry from Alexandria via LeMat-Bulk: a geometry-optimized Y6TmMg2 structure (PBE).

Cell: 3.750 6.623 11.818 Å, 75.22 80.87 73.55°
Sites, in units of the cell vectors:
Y 0.314 0.787 0.584
Y 0.319 0.484 0.878
Y 0.018 0.304 0.661
Y 0.681 0.516 0.122
Y 0.982 0.696 0.339
Y 0.686 0.213 0.416
Tm 0.000 0.000 0.000
Mg 0.649 0.908 0.793
Mg 0.351 0.092 0.207

Results
energy relative to the elements: -0.024 eV per atom
crystal system: monoclinic

***

Entry from Alexandria via LeMat-Bulk: a geometry-optimized Nb2Al2Bi structure (PBE).

Cell: 3.715 3.715 7.696 Å, 76.03 76.03 90.00°
Sites, in units of the cell vectors:
Al 0.250 0.750 0.500
Al 0.750 0.250 0.500
Bi 0.000 0.000 0.000
Nb 0.602 0.602 0.795
Nb 0.398 0.398 0.205

Results
energy relative to the elements: 0.140 eV per atom
crystal system: tetragonal

***

Entry from Alexandria via LeMat-Bulk: a geometry-optimized MoIrAu2 structure (PBE).

Cell: 5.013 5.013 4.807 Å, 80.62 80.62 33.34°
Sites, in units of the cell vectors:
Au 0.998 0.998 0.003
Au 0.502 0.502 0.497
Mo 0.250 0.250 0.250
Ir 0.750 0.750 0.750

Results
energy relative to the elements: 0.256 eV per atom
crystal system: monoclinic

***

Entry from Alexandria via LeMat-Bulk: a geometry-optimized Pm12Cd3N5 structure (PBE).

Cell: 13.957 13.957 13.957 Å, 109.47 109.47 109.47°
Sites, in units of the cell vectors:
Pm 0.892 0.588 0.903
Pm 0.097 0.912 0.108
Pm 0.892 0.303 0.489
Pm 0.197 0.511 0.608
Pm 0.392 0.403 0.088
Pm 0.303 0.412 0.814
Pm 0.903 0.814 0.511
Pm 0.912 0.814 0.803
Pm 0.608 0.011 0.197
Pm 0.403 0.392 0.588
Pm 0.088 0.903 0.392
Pm 0.803 0.489 0.392
Pm 0.903 0.088 0.892
Pm 0.412 0.108 0.597
Pm 0.814 0.903 0.011
Pm 0.489 0.686 0.097
Pm 0.597 0.608 0.412
Pm 0.686 0.489 0.597
Pm 0.489 0.803 0.892
Pm 0.511 0.197 0.108
Pm 0.912 0.097 0.608
Pm 0.686 0.197 0.588
Pm 0.814 0.912 0.303
Pm 0.108 0.697 0.511
Pm 0.403 0.011 0.314
Pm 0.303 0.892 0.989
Pm 0.197 0.686 0.088
Pm 0.803 0.314 0.912
Pm 0.697 0.108 0.011
Pm 0.011 0.608 0.697
Pm 0.314 0.803 0.412
Pm 0.108 0.412 0.097
Pm 0.392 0.989 0.803
Pm 0.597 0.989 0.686
Pm 0.511 0.314 0.903
Pm 0.588 0.697 0.686
Pm 0.097 0.186 0.489
Pm 0.588 0.892 0.403
Pm 0.989 0.392 0.303
Pm 0.186 0.088 0.697
Pm 0.697 0.588 0.186
Pm 0.088 0.186 0.197
Pm 0.314 0.511 0.403
Pm 0.989 0.597 0.186
Pm 0.608 0.597 0.912
Pm 0.186 0.097 0.989
Pm 0.011 0.403 0.814
Pm 0.412 0.303 0.314
N 0.250 0.875 0.125
N 0.000 0.000 0.500
N 0.000 0.500 0.000
N 0.750 0.125 0.875
N 0.500 0.000 0.500
N 0.000 0.500 0.500
N 0.875 0.625 0.750
N 0.375 0.125 0.750
N 0.125 0.375 0.250
N 0.500 0.500 0.500
N 0.250 0.375 0.625
N 0.375 0.250 0.125
N 0.625 0.750 0.875
N 0.625 0.875 0.250
N 0.750 0.625 0.375
N 0.125 0.750 0.375
N 0.500 0.000 0.000
N 0.000 0.000 0.000
N 0.875 0.250 0.625
N 0.500 0.500 0.000
Cd 0.125 0.875 0.750
Cd 0.375 0.750 0.625
Cd 0.875 0.125 0.250
Cd 0.625 0.250 0.375
Cd 0.875 0.750 0.125
Cd 0.125 0.250 0.875
Cd 0.750 0.875 0.625
Cd 0.375 0.625 0.250
Cd 0.625 0.375 0.750
Cd 0.250 0.125 0.375
Cd 0.750 0.375 0.125
Cd 0.250 0.625 0.875

Results
ΔE_f (raw): -1298 kJ/mol of formula units
crystal system: cubic

***

Entry from Alexandria via LeMat-Bulk: a geometry-optimized Tl4Br3 structure (PBE).

Cell: 13.044 13.044 13.044 Å, 159.92 159.92 28.55°
Sites, in units of the cell vectors:
Tl 0.175 0.175 0.000
Tl 0.825 0.825 0.000
Tl 0.563 0.563 0.000
Tl 0.437 0.437 0.000
Br 0.697 0.697 0.000
Br 0.000 0.000 0.000
Br 0.303 0.303 0.000

Results
ΔE_f (raw): -387 kJ/mol of formula units
crystal system: tetragonal

***

Entry from Alexandria via LeMat-Bulk: a geometry-optimized KNaLiAs structure (PBE).

Cell: 4.740 4.740 6.513 Å, 68.66 68.66 60.00°
Sites, in units of the cell vectors:
Na 0.008 0.008 0.975
As 0.615 0.615 0.155
K 0.821 0.821 0.536
Li 0.281 0.281 0.156

Results
energy relative to the elements: -0.450 eV per atom
crystal system: trigonal

***

Please write out number 9 again, unchanged.
Entry from Alexandria via LeMat-Bulk: a geometry-optimized MoIrAu2 structure (PBE).

Cell: 5.013 5.013 4.807 Å, 80.62 80.62 33.34°
Sites, in units of the cell vectors:
Au 0.998 0.998 0.003
Au 0.502 0.502 0.497
Mo 0.250 0.250 0.250
Ir 0.750 0.750 0.750

Results
energy relative to the elements: 0.256 eV per atom
crystal system: monoclinic